(1)
# HfScNbIr, optimized geometry, DFT GGA-PBE
data_HfScNbIr
_chemical_formula_sum 'Hf1 Sc1 Nb1 Ir1'
_cell_length_a 4.699
_cell_length_b 4.699
_cell_length_c 4.699
_cell_angle_alpha 60.00
_cell_angle_beta 60.00
_cell_angle_gamma 60.00
_symmetry_space_group_name_H-M 'P 1'
_symmetry_Int_Tables_number 1
loop_
_symmetry_equiv_pos_as_xyz
'x,y,z'
loop_
_atom_site_label
_atom_site_type_symbol
_atom_site_fract_x
_atom_site_fract_y
_atom_site_fract_z
Sc1 Sc 0.750 0.750 0.750
Hf1 Hf 0.250 0.250 0.250
Ir1 Ir 0.000 0.000 0.000
Nb1 Nb 0.500 0.500 0.500
# Formation enthalpy at 0 K ... -0.352 eV per atom
# Space-group type ... F-43m
# E_tot ... -36.62 eV per formula unit

***

(2)
# Rb2BeGeS4, optimized geometry, DFT GGA-PBE
data_Rb2BeGeS4
_chemical_formula_sum 'Rb2 Be1 Ge1 S4'
_cell_length_a 6.932
_cell_length_b 6.933
_cell_length_c 6.455
_cell_angle_alpha 122.49
_cell_angle_beta 122.47
_cell_angle_gamma 90.00
_symmetry_space_group_name_H-M 'P 1'
_symmetry_Int_Tables_number 1
loop_
_symmetry_equiv_pos_as_xyz
'x,y,z'
loop_
_atom_site_label
_atom_site_type_symbol
_atom_site_fract_x
_atom_site_fract_y
_atom_site_fract_z
Rb1 Rb 0.236 0.236 0.472
Rb2 Rb 0.486 0.986 0.972
S1 S 0.851 0.472 0.197
S2 S 0.000 0.125 0.747
S3 S 0.747 0.621 0.747
S4 S 0.346 0.725 0.197
Be1 Be 0.986 0.486 0.972
Ge1 Ge 0.736 0.736 0.472
# Raw formation energy ... -904 meV/atom
# Space-group type ... I-4
# E_tot ... -34.02 eV per formula unit

***

(3)
# SrTeW, optimized geometry, DFT GGA-PBE
data_SrTeW
_chemical_formula_sum 'Sr1 Te1 W1'
_cell_length_a 4.629
_cell_length_b 4.629
_cell_length_c 4.496
_cell_angle_alpha 90.00
_cell_angle_beta 90.00
_cell_angle_gamma 120.00
_symmetry_space_group_name_H-M 'P 1'
_symmetry_Int_Tables_number 1
loop_
_symmetry_equiv_pos_as_xyz
'x,y,z'
loop_
_atom_site_label
_atom_site_type_symbol
_atom_site_fract_x
_atom_site_fract_y
_atom_site_fract_z
Te1 Te 0.667 0.333 0.500
Sr1 Sr 0.000 0.000 0.000
W1 W 0.333 0.667 0.500
# Raw formation energy ... 478 meV/atom
# Space-group type ... P-6m2
# E_tot ... -16.34 eV per formula unit
# Polymorph energy (0 for the lowest one) ... 0.162 eV/atom

***

(4)
# Tm3SiC3, optimized geometry, DFT GGA-PBE
data_Tm3SiC3
_chemical_formula_sum 'Tm12 Si4 C12'
_cell_length_a 3.425
_cell_length_b 10.843
_cell_length_c 10.934
_cell_angle_alpha 90.00
_cell_angle_beta 90.00
_cell_angle_gamma 90.00
_symmetry_space_group_name_H-M 'P 1'
_symmetry_Int_Tables_number 1
loop_
_symmetry_equiv_pos_as_xyz
'x,y,z'
loop_
_atom_site_label
_atom_site_type_symbol
_atom_site_fract_x
_atom_site_fract_y
_atom_site_fract_z
Tm1 Tm 0.250 0.284 0.190
Tm2 Tm 0.750 0.411 0.904
Tm3 Tm 0.750 0.625 0.516
Tm4 Tm 0.750 0.911 0.596
Tm5 Tm 0.250 0.875 0.016
Tm6 Tm 0.750 0.716 0.810
Tm7 Tm 0.750 0.125 0.984
Tm8 Tm 0.250 0.375 0.484
Tm9 Tm 0.750 0.216 0.690
Tm10 Tm 0.250 0.589 0.096
Tm11 Tm 0.250 0.784 0.310
Tm12 Tm 0.250 0.089 0.404
C1 C 0.250 0.550 0.347
C2 C 0.250 0.713 0.646
C3 C 0.250 0.050 0.153
C4 C 0.250 0.563 0.878
C5 C 0.750 0.450 0.653
C6 C 0.750 0.950 0.847
C7 C 0.250 0.063 0.622
C8 C 0.750 0.937 0.378
C9 C 0.750 0.787 0.146
C10 C 0.250 0.213 0.854
C11 C 0.750 0.437 0.122
C12 C 0.750 0.287 0.354
Si1 Si 0.250 0.534 0.706
Si2 Si 0.250 0.034 0.794
Si3 Si 0.750 0.466 0.294
Si4 Si 0.750 0.966 0.206
# Raw formation energy ... -273 meV/atom
# Space-group type ... Pnma
# E_tot ... -48.42 eV per formula unit

***

(5)
# CrTe3As, optimized geometry, DFT GGA-PBE
data_CrTe3As
_chemical_formula_sum 'Cr1 Te3 As1'
_cell_length_a 5.022
_cell_length_b 5.022
_cell_length_c 5.022
_cell_angle_alpha 90.00
_cell_angle_beta 90.00
_cell_angle_gamma 90.00
_symmetry_space_group_name_H-M 'P 1'
_symmetry_Int_Tables_number 1
loop_
_symmetry_equiv_pos_as_xyz
'x,y,z'
loop_
_atom_site_label
_atom_site_type_symbol
_atom_site_fract_x
_atom_site_fract_y
_atom_site_fract_z
Cr1 Cr 0.000 0.000 0.000
Te1 Te 0.000 0.000 0.500
Te2 Te 0.000 0.500 0.000
Te3 Te 0.500 0.000 0.000
As1 As 0.500 0.500 0.500
# Raw formation energy ... 597 meV/atom
# Space-group type ... Pm-3m
# E_tot ... -20.72 eV per formula unit

***

(6)
# TaBeNi2Sb, optimized geometry, DFT GGA-PBE
data_TaBeNi2Sb
_chemical_formula_sum 'Ta1 Be1 Ni2 Sb1'
_cell_length_a 4.006
_cell_length_b 4.613
_cell_length_c 4.006
_cell_angle_alpha 90.00
_cell_angle_beta 90.00
_cell_angle_gamma 90.00
_symmetry_space_group_name_H-M 'P 1'
_symmetry_Int_Tables_number 1
loop_
_symmetry_equiv_pos_as_xyz
'x,y,z'
loop_
_atom_site_label
_atom_site_type_symbol
_atom_site_fract_x
_atom_site_fract_y
_atom_site_fract_z
Be1 Be 0.000 0.000 0.000
Ni1 Ni 0.500 0.000 0.000
Ni2 Ni 0.000 0.000 0.500
Ta1 Ta 0.500 0.500 0.500
Sb1 Sb 0.000 0.500 0.000
# Raw formation energy ... 524 meV/atom
# Space-group type ... P4/mmm
# E_tot ... -28.64 eV per formula unit

***

(7)
# Ce4CN, optimized geometry, DFT GGA-PBE
data_Ce4CN
_chemical_formula_sum 'Ce8 C2 N2'
_cell_length_a 3.520
_cell_length_b 6.089
_cell_length_c 12.600
_cell_angle_alpha 89.68
_cell_angle_beta 90.00
_cell_angle_gamma 90.00
_symmetry_space_group_name_H-M 'P 1'
_symmetry_Int_Tables_number 1
loop_
_symmetry_equiv_pos_as_xyz
'x,y,z'
loop_
_atom_site_label
_atom_site_type_symbol
_atom_site_fract_x
_atom_site_fract_y
_atom_site_fract_z
Ce1 Ce 0.500 0.830 0.114
Ce2 Ce 0.500 0.835 0.612
Ce3 Ce 0.500 0.165 0.388
Ce4 Ce 0.000 0.335 0.112
Ce5 Ce 0.000 0.670 0.386
Ce6 Ce 0.500 0.170 0.886
Ce7 Ce 0.000 0.665 0.888
Ce8 Ce 0.000 0.330 0.614
C1 C 0.000 0.000 0.000
C2 C 0.500 0.500 0.500
N1 N 0.500 0.500 0.000
N2 N 0.000 0.000 0.500
# Raw formation energy ... -507 meV/atom
# Space-group type ... C2/m
# E_tot ... -44.33 eV per formula unit

***

(8)
# ZnSb2Pt, optimized geometry, DFT GGA-PBE
data_ZnSb2Pt
_chemical_formula_sum 'Zn1 Sb2 Pt1'
_cell_length_a 6.966
_cell_length_b 6.966
_cell_length_c 6.966
_cell_angle_alpha 150.23
_cell_angle_beta 147.47
_cell_angle_gamma 44.67
_symmetry_space_group_name_H-M 'P 1'
_symmetry_Int_Tables_number 1
loop_
_symmetry_equiv_pos_as_xyz
'x,y,z'
loop_
_atom_site_label
_atom_site_type_symbol
_atom_site_fract_x
_atom_site_fract_y
_atom_site_fract_z
Sb1 Sb 0.785 0.285 0.500
Sb2 Sb 0.050 0.050 0.000
Pt1 Pt 0.211 0.711 0.500
Zn1 Zn 0.454 0.454 0.000
# Raw formation energy ... -29 meV/atom
# Space-group type ... Imm2
# E_tot ... -15.68 eV per formula unit

***

Computed D(E_F) (states/eV/atom) in order:
1.431; 0.000; 0.938; 0.433; 0.986; 0.885; 2.185; 0.423
Computed V (Å³/atom) in order:
18.346; 25.229; 27.803; 14.504; 25.338; 14.803; 22.502; 22.498